(1)
Entry from the Alexandria database: a relaxed Pr3NpPd12 crystal (PBE-GGA).

abc: 4.199 4.199 16.781
angles: 90.00 90.00 90.00
Each line ends with the local moment (μB).
Element x y z (fractional)
Pd  0.000  0.500  0.627  0.00
Pd  0.500  0.000  0.882  -0.06
Pd  0.500  0.000  0.627  0.00
Pd  0.500  0.000  0.118  -0.06
Pd  0.500  0.000  0.373  0.00
Pd  0.500  0.500  0.754  -0.01
Pd  0.000  0.500  0.373  0.00
Pd  0.000  0.500  0.118  -0.06
Pd  0.500  0.500  0.246  -0.01
Pd  0.000  0.500  0.882  -0.06
Pd  0.500  0.500  0.000  -0.09
Pd  0.500  0.500  0.500  -0.01
Pr  0.000  0.000  0.751  -0.01
Pr  0.000  0.000  0.249  -0.01
Pr  0.000  0.000  0.500  0.00
Np  0.000  0.000  0.000  3.25

Results
calculated volume = 18.5 Å³/atom
formation energy = -676.6 meV per atom
DOS(E_F) = 1.036 states/eV/atom


(2)
Entry from the Alexandria database: a relaxed NaErZnTe3 crystal (PBE-GGA).

abc: 4.330 8.993 10.441
angles: 106.28 90.00 90.00
Element x y z (fractional)
Zn  0.250  0.082  0.600
Zn  0.750  0.918  0.400
Er  0.750  0.326  0.853
Er  0.250  0.674  0.147
Na  0.250  0.199  0.204
Na  0.750  0.801  0.796
Te  0.750  0.441  0.159
Te  0.750  0.917  0.145
Te  0.250  0.770  0.464
Te  0.250  0.559  0.841
Te  0.250  0.083  0.855
Te  0.750  0.230  0.536

Results
E_form (uncorrected) = -0.971 eV/atom
calculated volume = 32.5 Å³/atom


(3)
Entry from the Alexandria database: a relaxed Na2SnBr crystal (PBE-GGA).

abc: 3.487 3.487 8.705
angles: 90.00 90.00 90.00
Element x y z (fractional)
Sn  0.500  0.500  0.500
Na  0.000  0.000  0.211
Na  0.000  0.000  0.789
Br  0.500  0.500  0.000

Results
E_form (uncorrected) = -0.717 eV/atom
calculated volume = 26.5 Å³/atom
DOS(E_F) = 0.239 states/eV/atom


(4)
Entry from the Alexandria database: a relaxed KPa2RuO8 crystal (PBE-GGA).

abc: 5.397 5.397 7.593
angles: 90.00 90.00 120.00
Each line ends with the local moment (μB).
Element x y z (fractional)
O  0.176  0.353  0.134  0.12
O  0.824  0.647  0.866  0.12
O  0.333  0.667  0.632  0.01
O  0.667  0.333  0.368  0.01
O  0.647  0.824  0.134  0.12
O  0.824  0.176  0.866  0.12
O  0.353  0.176  0.866  0.12
O  0.176  0.824  0.134  0.12
K  0.000  0.000  0.500  0.00
Ru  0.000  0.000  0.000  1.82
Pa  0.333  0.667  0.877  0.11
Pa  0.667  0.333  0.123  0.11

Results
E_form (uncorrected) = -2.265 eV/atom
calculated volume = 16.0 Å³/atom
DOS(E_F) = 0.064 states/eV/atom


(5)
Entry from the Alexandria database: a relaxed RbHf2ZrSc crystal (PBE-GGA).

abc: 5.096 4.842 5.096
angles: 90.00 90.00 90.00
Element x y z (fractional)
Hf  0.000  0.000  0.500
Hf  0.500  0.000  0.000
Sc  0.000  0.500  0.000
Zr  0.500  0.500  0.500
Rb  0.000  0.000  0.000

Results
calculated volume = 25.2 Å³/atom
formation energy = 1850.1 meV per atom
DOS(E_F) = 1.374 states/eV/atom


(6)
Entry from the Alexandria database: a relaxed Ac4Cu2F crystal (PBE-GGA).

abc: 5.347 5.347 8.385
angles: 108.59 108.59 90.00
Element x y z (fractional)
Ac  0.201  0.201  0.402
Ac  0.000  0.500  0.000
Ac  0.799  0.799  0.598
Ac  0.500  0.000  0.000
Cu  0.395  0.395  0.791
Cu  0.605  0.605  0.209
F  0.000  0.000  0.000

Results
E_form (uncorrected) = -0.650 eV/atom
calculated volume = 30.6 Å³/atom
DOS(E_F) = 0.719 states/eV/atom


(7)
Entry from the Alexandria database: a relaxed BaOsBr2 crystal (PBE-GGA).

abc: 8.676 8.676 8.676
angles: 156.53 151.74 37.05
Each line ends with the local moment (μB).
Element x y z (fractional)
Br  0.015  0.015  0.000  0.05
Br  0.285  0.785  0.500  0.00
Ba  0.683  0.183  0.500  -0.03
Os  0.517  0.517  0.000  1.24

Results
E_form (uncorrected) = 0.100 eV/atom
calculated volume = 30.7 Å³/atom
DOS(E_F) = 0.842 states/eV/atom


(8)
Entry from the Alexandria database: a relaxed KCaFe crystal (PBE-GGA).

abc: 8.247 8.247 3.591
angles: 77.42 77.43 25.15
Each line ends with the local moment (μB).
Element x y z (fractional)
K  0.692  0.692  0.308  0.00
Ca  0.957  0.957  0.043  -0.09
Fe  0.350  0.350  0.650  2.93

Results
calculated volume = 33.7 Å³/atom
formation energy = 719.5 meV per atom
DOS(E_F) = 0.655 states/eV/atom


(9)
Entry from the Alexandria database: a relaxed Ho2SnI3 crystal (PBE-GGA).

abc: 4.048 11.700 10.863
angles: 85.98 79.26 80.04
Element x y z (fractional)
I  0.764  0.852  0.619
I  0.962  0.831  0.246
I  0.236  0.148  0.381
I  0.312  0.341  0.035
I  0.688  0.659  0.965
I  0.038  0.169  0.754
Ho  0.127  0.575  0.171
Ho  0.596  0.260  0.549
Ho  0.404  0.740  0.451
Ho  0.873  0.425  0.829
Sn  0.574  0.485  0.367
Sn  0.426  0.515  0.633

Results
E_form (uncorrected) = -0.983 eV/atom
calculated volume = 41.5 Å³/atom
DOS(E_F) = 0.182 states/eV/atom


(10)
Entry from the Alexandria database: a relaxed ZnSi2F crystal (PBE-GGA).

abc: 4.274 4.274 4.274
angles: 60.00 60.00 60.00
Element x y z (fractional)
Si  0.750  0.750  0.750
Si  0.250  0.250  0.250
Zn  0.500  0.500  0.500
F  0.000  0.000  0.000

Results
E_form (uncorrected) = -0.102 eV/atom
calculated volume = 13.8 Å³/atom
DOS(E_F) = 0.394 states/eV/atom


(11)
Entry from the Alexandria database: a relaxed Li5Mg2InHg2 crystal (PBE-GGA).

abc: 4.397 9.618 9.618
angles: 90.00 90.00 90.00
Element x y z (fractional)
Mg  0.000  0.828  0.672
Mg  0.000  0.328  0.828
Mg  0.000  0.672  0.172
Mg  0.000  0.172  0.328
In  0.000  0.500  0.500
In  0.000  0.000  0.000
Hg  0.000  0.875  0.375
Hg  0.000  0.625  0.875
Hg  0.000  0.375  0.125
Hg  0.000  0.125  0.625
Li  0.500  0.199  0.077
Li  0.500  0.801  0.923
Li  0.500  0.699  0.423
Li  0.500  0.077  0.801
Li  0.500  0.500  0.000
Li  0.500  0.923  0.199
Li  0.500  0.000  0.500
Li  0.500  0.577  0.699
Li  0.500  0.423  0.301
Li  0.500  0.301  0.577

Results
calculated volume = 20.3 Å³/atom
formation energy = -208.0 meV per atom
DOS(E_F) = 0.449 states/eV/atom


(12)
Entry from the Alexandria database: a relaxed Cs3NdU2S6 crystal (PBE-GGA).

abc: 7.188 7.188 8.460
angles: 98.14 98.14 120.00
Each line ends with the local moment (μB).
Element x y z (fractional)
S  0.061  0.405  0.184  -0.05
S  0.283  0.283  0.817  -0.05
S  0.939  0.595  0.816  -0.05
S  0.595  0.939  0.816  -0.05
S  0.405  0.061  0.184  -0.05
S  0.717  0.717  0.183  -0.05
Cs  0.836  0.164  0.500  0.01
Cs  0.164  0.836  0.500  0.01
Cs  0.500  0.500  0.500  0.01
Nd  0.000  0.000  0.000  0.14
U  0.667  0.333  0.000  2.57
U  0.333  0.667  0.000  2.57

Results
E_form (uncorrected) = -1.488 eV/atom
calculated volume = 30.3 Å³/atom
DOS(E_F) = 0.747 states/eV/atom


- Among the records above, which one has the lowest calculated volume?
  ZnSi2F